[1]
A plane-wave DFT calculation with PBE-GGA was carried out for a relaxed structure of Sb4MoRh. Values from VASP.

Cell and atoms, written as Quantum ESPRESSO input:
```
&SYSTEM
  ibrav = 0, nat = 6, ntyp = 3
/
ATOMIC_SPECIES
Sb 121.76 Sb.upf
Mo 95.94 Mo.upf
Rh 102.91 Rh.upf
ATOMIC_POSITIONS crystal
Sb 0.1254 0.1254 0.1254
Sb 0.1254 0.1254 0.6239
Sb 0.1254 0.6239 0.1254
Sb 0.6239 0.1254 0.1254
Mo 0.7500 0.7500 0.7500
Rh 0.5000 0.5000 0.5000
CELL_PARAMETERS angstrom
0.0000 4.2332 4.2332
4.2332 0.0000 4.2332
4.2332 4.2332 0.0000
```

Its density of states at the Fermi level is 3.36 states/eV/f.u. Its formation energy (no corrections) is 1.10 eV per atom. For the total magnetic moment, the calculation gives 2.882 μB per cell. The total energy is -4.678 eV per atom.

[2]
A plane-wave DFT calculation with PBE-GGA was carried out for a relaxed structure of PuReSi. Values from VASP.

Cell and atoms, written as Quantum ESPRESSO input:
```
&SYSTEM
  ibrav = 0, nat = 6, ntyp = 3
/
ATOMIC_SPECIES
Pu 244.00 Pu.upf
Re 186.21 Re.upf
Si 28.09 Si.upf
ATOMIC_POSITIONS crystal
Pu 0.0324 0.9676 0.7500
Pu 0.9676 0.0324 0.2500
Re 0.3521 0.6479 0.7500
Re 0.6479 0.3521 0.2500
Si 0.2032 0.7968 0.7500
Si 0.7968 0.2032 0.2500
CELL_PARAMETERS angstrom
1.3057 -8.4958 0.0000
1.3057 8.4958 0.0000
0.0000 0.0000 4.2391
```

Its density of states at the Fermi level is 3.93 states/eV/f.u. Its formation energy (no corrections) is 0.10 eV per atom. For the total magnetic moment, the calculation gives 2.784 μB per cell. The total energy is -10.639 eV per atom.

[3]
A plane-wave DFT calculation with PBE-GGA was carried out for a relaxed structure of LiCa2B2Pt5. Values from VASP.

Cell and atoms, written as Quantum ESPRESSO input:
```
&SYSTEM
  ibrav = 0, nat = 20, ntyp = 4
/
ATOMIC_SPECIES
Li 6.94 Li.upf
Ca 40.08 Ca.upf
B 10.81 B.upf
Pt 195.08 Pt.upf
ATOMIC_POSITIONS crystal
Li 0.0000 0.0000 0.0000
Li 0.5000 0.5000 0.0000
Ca 0.1764 0.3236 0.0000
Ca 0.3236 0.8236 0.0000
Ca 0.6764 0.1764 0.0000
Ca 0.8236 0.6764 0.0000
B 0.1244 0.6244 0.0000
B 0.3756 0.1244 0.0000
B 0.6244 0.8756 0.0000
B 0.8756 0.3756 0.0000
Pt 0.0000 0.5000 0.5000
Pt 0.0693 0.7804 0.5000
Pt 0.2196 0.0693 0.5000
Pt 0.2804 0.5693 0.5000
Pt 0.4307 0.2804 0.5000
Pt 0.5000 0.0000 0.5000
Pt 0.5693 0.7196 0.5000
Pt 0.7196 0.4307 0.5000
Pt 0.7804 0.9307 0.5000
Pt 0.9307 0.2196 0.5000
CELL_PARAMETERS angstrom
9.7213 0.0000 0.0000
0.0000 9.7213 0.0000
0.0000 0.0000 3.1845
```

For the energy of formation from the pure elements, the calculation gives -606 meV/atom. Its density of states at the Fermi level is 1.84 states/eV/f.u. For the total magnetic moment, the calculation gives 0.000 μB per cell. The total energy is -5.553 eV per atom.

[4]
A plane-wave DFT calculation with PBE-GGA was carried out for a relaxed structure of LiNdTlSn. Values from VASP.

Cell and atoms, written as Quantum ESPRESSO input:
```
&SYSTEM
  ibrav = 0, nat = 4, ntyp = 4
/
ATOMIC_SPECIES
Li 6.94 Li.upf
Nd 144.24 Nd.upf
Tl 204.38 Tl.upf
Sn 118.71 Sn.upf
ATOMIC_POSITIONS crystal
Li 0.0000 0.0000 0.0000
Nd 0.5000 0.5000 0.5000
Tl 0.2500 0.2500 0.2500
Sn 0.7500 0.7500 0.7500
CELL_PARAMETERS angstrom
0.0000 3.7383 3.7383
3.7383 0.0000 3.7383
3.7383 3.7383 0.0000
```

For the energy of formation from the pure elements, the calculation gives -400 meV/atom. Its density of states at the Fermi level is 1.62 states/eV/f.u. As for the excess energy over the best structure of this formula in the dataset: 0.23 eV per formula unit. For the total magnetic moment, the calculation gives 0.000 μB per cell. The total energy is -3.663 eV per atom.

[5]
A plane-wave DFT calculation with PBE-GGA was carried out for a relaxed structure of CuTcPt2. Values from VASP.

Cell and atoms, written as Quantum ESPRESSO input:
```
&SYSTEM
  ibrav = 0, nat = 4, ntyp = 3
/
ATOMIC_SPECIES
Cu 63.55 Cu.upf
Tc 98.00 Tc.upf
Pt 195.08 Pt.upf
ATOMIC_POSITIONS crystal
Cu 0.0000 0.0000 0.0000
Tc 0.0000 0.0000 0.5000
Pt 0.4975 0.5000 0.2509
Pt 0.5025 0.5000 0.7491
CELL_PARAMETERS angstrom
2.7574 0.0000 0.0000
0.0000 3.8795 0.0000
-0.0136 0.0000 5.4158
```

For the energy of formation from the pure elements, the calculation gives -117 meV/atom. Its density of states at the Fermi level is 3.85 states/eV/f.u. As for the excess energy over the best structure of this formula in the dataset: 0.29 eV per formula unit. For the total magnetic moment, the calculation gives 0.000 μB per cell. The total energy is -6.753 eV per atom.

[6]
A plane-wave DFT calculation with PBE-GGA was carried out for a relaxed structure of RbAc2Sb. Values from VASP.

Cell and atoms, written as Quantum ESPRESSO input:
```
&SYSTEM
  ibrav = 0, nat = 4, ntyp = 3
/
ATOMIC_SPECIES
Rb 85.47 Rb.upf
Ac 227.00 Ac.upf
Sb 121.76 Sb.upf
ATOMIC_POSITIONS crystal
Rb 0.0000 0.0000 0.0000
Ac 0.1143 0.1143 0.1143
Ac 0.8857 0.8857 0.8857
Sb 0.5000 0.5000 0.5000
CELL_PARAMETERS angstrom
2.2318 1.2885 12.8162
-2.2318 1.2885 12.8162
0.0000 -2.5771 12.8162
```

Its density of states at the Fermi level is 5.03 states/eV/f.u. Its formation energy (no corrections) is -0.31 eV per atom. As for the excess energy over the best structure of this formula in the dataset: 0.00 eV per formula unit. For the total magnetic moment, the calculation gives 0.000 μB per cell. The total energy is -3.632 eV per atom.

[7]
A plane-wave DFT calculation with PBE-GGA was carried out for a relaxed structure of Dy3Si3Ni. Values from VASP.

Cell and atoms, written as Quantum ESPRESSO input:
```
&SYSTEM
  ibrav = 0, nat = 14, ntyp = 3
/
ATOMIC_SPECIES
Dy 162.50 Dy.upf
Si 28.09 Si.upf
Ni 58.69 Ni.upf
ATOMIC_POSITIONS crystal
Dy 0.0304 0.0304 0.3803
Dy 0.1014 0.1014 0.9214
Dy 0.2480 0.2480 0.2277
Dy 0.7520 0.7520 0.7723
Dy 0.8986 0.8986 0.0786
Dy 0.9696 0.9696 0.6197
Si 0.3621 0.3621 0.4574
Si 0.3864 0.3864 0.9240
Si 0.4520 0.4520 0.7637
Si 0.5480 0.5480 0.2363
Si 0.6136 0.6136 0.0760
Si 0.6379 0.6379 0.5426
Ni 0.2526 0.2526 0.5973
Ni 0.7474 0.7474 0.4027
CELL_PARAMETERS angstrom
5.1816 -2.0991 0.0000
5.1816 2.0991 0.0000
-4.7773 0.0000 12.6932
```

Its density of states at the Fermi level is 5.15 states/eV/f.u. Its formation energy (no corrections) is -0.82 eV per atom. As for the excess energy over the best structure of this formula in the dataset: 0.00 eV per formula unit. For the total magnetic moment, the calculation gives 0.000 μB per cell. The total energy is -5.944 eV per atom.

[8]
A plane-wave DFT calculation with PBE-GGA was carried out for a relaxed structure of TbHo3Te2. Values from VASP.

Cell and atoms, written as Quantum ESPRESSO input:
```
&SYSTEM
  ibrav = 0, nat = 12, ntyp = 3
/
ATOMIC_SPECIES
Tb 158.93 Tb.upf
Ho 164.93 Ho.upf
Te 127.60 Te.upf
ATOMIC_POSITIONS crystal
Tb 0.1096 0.1096 0.0988
Tb 0.8904 0.8904 0.9012
Ho 0.0490 0.0490 0.6552
Ho 0.3103 0.3103 0.1272
Ho 0.3666 0.3666 0.5353
Ho 0.6334 0.6334 0.4647
Ho 0.6897 0.6897 0.8728
Ho 0.9510 0.9510 0.3448
Te 0.2539 0.2539 0.6972
Te 0.4911 0.4911 0.1556
Te 0.5089 0.5089 0.8444
Te 0.7461 0.7461 0.3028
CELL_PARAMETERS angstrom
9.0960 -1.9551 0.0000
9.0960 1.9551 0.0000
-4.1192 0.0000 9.7774
```

Its density of states at the Fermi level is 7.02 states/eV/f.u. Its formation energy (no corrections) is -0.77 eV per atom. For the total magnetic moment, the calculation gives 0.002 μB per cell. The total energy is -4.878 eV per atom.